(1)
Compound: Ru2PbSe
Source: Alexandria via LeMat-Bulk
Functional: PBE
Structure: optimized geometry

Properties
For the volume, the calculation gives 18.129 A^3/atom. The calculated total energy is -6.08 eV/atom. The value obtained for the energy above the lowest structure with this stoichiometry is 0.128 eV/atom. The formation energy from raw total energies comes out at 0.359 eV/atom. As for the space-group type: C2/m (12).

Cell: 4.3918 4.3918 5.8533 Å, 102.63 102.63 41.35°
With the nearest neighbours (Å) after each atom.
Fractional positions:
Ru  0.2482  0.2482  0.1913  3 Se 2.57-2.60, 2 Ru 2.73, 2 Pb 2.86
Ru  0.7518  0.7518  0.8087  3 Se 2.57-2.60, 2 Ru 2.73, 2 Pb 2.86
Pb  0.0000  0.0000  0.5000  6 Ru 2.86-3.02, 2 Pb 3.10
Se  0.5000  0.5000  0.0000  6 Ru 2.57-2.60


(2)
Compound: CsRbNa2Li
Source: Alexandria via LeMat-Bulk
Functional: PBE
Structure: optimized geometry

Properties
For the volume, the calculation gives 60.125 A^3/atom. The calculated total energy is -1.12 eV/atom. The value obtained for the energy above the lowest structure with this stoichiometry is 0.033 eV/atom. Its formation energy is 152 meV/atom. As for the space-group type: P4/mmm (123).

Cell: 6.4808 6.4808 7.1575 Å, 90.00 90.00 90.00°
With the nearest neighbours (Å) after each atom.
Fractional positions:
Cs  0.0000  0.0000  0.0000  2 Li 3.58
Rb  0.5000  0.5000  0.0000  4 Cs 4.58, 8 Na 4.83
Na  0.0000  0.5000  0.5000  2 Li 3.24
Na  0.5000  0.0000  0.5000  2 Li 3.24
Li  0.0000  0.0000  0.5000  4 Na 3.24, 2 Cs 3.58


(3)
Compound: NdSm8Tm6
Source: Alexandria via LeMat-Bulk
Functional: PBE
Structure: optimized geometry

Properties
For the volume, the calculation gives 32.714 A^3/atom. The calculated total energy is -4.49 eV/atom. Its formation energy is 134 meV/atom. As for the space-group type: R-3 (148).

Cell: 8.6826 8.6826 8.6826 Å, 62.71 62.71 62.71°
With the nearest neighbours (Å) after each atom.
Fractional positions:
Nd  0.0000  0.0000  0.0000  6 Tm 3.49, 6 Sm 3.52
Sm  0.1126  0.7509  0.7166  5 Sm 3.41-3.43, 2 Tm 3.43-3.44, 1 Nd 3.52
Sm  0.2491  0.2834  0.8874  5 Sm 3.41-3.43, 2 Tm 3.43-3.44, 1 Nd 3.52
Sm  0.2834  0.8874  0.2491  5 Sm 3.41-3.43, 2 Tm 3.43-3.44, 1 Nd 3.52
Sm  0.4226  0.4226  0.4226  4 Sm 3.22-3.41, 3 Tm 3.35
Sm  0.5774  0.5774  0.5774  4 Sm 3.22-3.41, 3 Tm 3.35
Sm  0.7166  0.1126  0.7509  5 Sm 3.41-3.43, 2 Tm 3.43-3.44, 1 Nd 3.52
Sm  0.7509  0.7166  0.1126  5 Sm 3.41-3.43, 2 Tm 3.43-3.44, 1 Nd 3.52
Sm  0.8874  0.2491  0.2834  5 Sm 3.41-3.43, 2 Tm 3.43-3.44, 1 Nd 3.52
Tm  0.0975  0.2491  0.5360  3 Sm 3.35-3.44, 3 Tm 3.49-3.73, 1 Nd 3.49
Tm  0.2491  0.5360  0.0975  3 Sm 3.35-3.44, 3 Tm 3.49-3.73, 1 Nd 3.49
Tm  0.4640  0.9025  0.7509  3 Sm 3.35-3.44, 3 Tm 3.49-3.73, 1 Nd 3.49
Tm  0.5360  0.0975  0.2491  3 Sm 3.35-3.44, 3 Tm 3.49-3.73, 1 Nd 3.49
Tm  0.7509  0.4640  0.9025  3 Sm 3.35-3.44, 3 Tm 3.49-3.73, 1 Nd 3.49
Tm  0.9025  0.7509  0.4640  3 Sm 3.35-3.44, 3 Tm 3.49-3.73, 1 Nd 3.49


(4)
Compound: Ca2BeAl
Source: Alexandria via LeMat-Bulk
Functional: PBE
Structure: optimized geometry

Properties
For the volume, the calculation gives 26.384 A^3/atom. The calculated total energy is -2.37 eV/atom. The value obtained for the energy above the lowest structure with this stoichiometry is 0.508 eV/atom. Its formation energy is 501 meV/atom. As for the space-group type: I-42d (122).

Cell: 6.5812 6.5812 6.5812 Å, 103.48 103.48 122.27°
With the nearest neighbours (Å) after each atom.
Fractional positions:
Ca  0.0948  0.1250  0.4698  2 Be 2.83, 2 Al 3.16
Ca  0.3750  0.9052  0.0302  2 Be 2.83, 2 Al 3.16
Ca  0.6552  0.6250  0.5302  2 Be 2.83, 2 Al 3.16
Ca  0.8750  0.3448  0.9698  2 Be 2.83, 2 Al 3.16
Be  0.0000  0.0000  0.0000  4 Ca 2.83
Be  0.7500  0.2500  0.5000  4 Ca 2.83
Al  0.2500  0.7500  0.5000  4 Ca 3.16, 2 Be 3.18
Al  0.5000  0.5000  0.0000  4 Ca 3.16, 2 Be 3.18